LiVIn2O5: optimized geometry, PBE with a Hubbard U.

Values from the calculation:
Electronic total energy in eV/cell: -108.67
SG: Cmc2_1, No. 36

Cell: 3.207 6.414 11.157 Å, 90.00 90.00 104.48°
Site moments in Bohr magnetons follow the coordinates.
Sites, in units of the cell vectors:
O (0.242, 0.484, 0.666)  0.00
Li (0.457, 0.914, 0.457)  0.00
O (0.479, 0.959, 0.778)  0.01
O (0.741, 0.482, 0.903)  -0.02
O (0.259, 0.518, 0.403)  -0.02
O (0.401, 0.802, 0.039)  -0.02
In (0.937, 0.873, 0.158)  0.01
In (0.063, 0.127, 0.658)  0.01
In (0.158, 0.316, 0.252)  0.01
V (0.246, 0.492, 0.011)  1.89
V (0.754, 0.508, 0.511)  1.89
O (0.599, 0.198, 0.539)  -0.02
In (0.842, 0.684, 0.752)  0.01
Li (0.543, 0.086, 0.957)  0.00
O (0.906, 0.811, 0.561)  0.00
O (0.758, 0.516, 0.166)  0.00
O (0.521, 0.041, 0.278)  0.01
O (0.094, 0.189, 0.061)  0.00